Record 1
{"formula": "Mg4H3Ir", "functional": "GGA-PBE", "state": "relaxed", "lattice": [[-2.098, -2.123, -1.239], [6.316, -3.883, 0.115], [2.083, -2.334, 4.689]], "species": ["H", "H", "Mg", "Mg", "H", "Ir", "Mg", "Mg"], "fractional_positions": [[0.313, 0.921, 0.027], [0.810, 0.681, 0.263], [0.464, 0.240, 0.005], [0.450, 0.749, 0.475], [0.817, 0.161, 0.792], [0.813, 0.421, 0.527], [0.176, 0.092, 0.580], [0.164, 0.601, 0.050]], "dos_ef_per_ev_cell": 2.117, "e_above_lowest_polymorph_ev_per_fu": 0.343, "space_group": "P-1", "volume_a3_per_atom": 13.53, "total_magnetization_mub_per_cell": 0.00}


Record 2
{"formula": "Mg2H3Ir2", "functional": "GGA-PBE", "state": "relaxed", "lattice": [[4.028, 0.001, 2.458], [1.374, 3.782, -2.246], [0.003, 0.002, 4.724]], "species": ["Ir", "Mg", "H", "Ir", "H", "H", "Mg"], "fractional_positions": [[0.949, 0.576, 0.613], [0.181, 0.810, 0.082], [0.681, 0.310, 0.582], [0.414, 0.045, 0.551], [0.681, 0.810, 0.582], [0.181, 0.310, 0.082], [0.682, 0.310, 0.082]], "dos_ef_per_ev_cell": 1.926, "e_above_lowest_polymorph_ev_per_fu": 0.065, "space_group": "C2/m", "volume_a3_per_atom": 10.28, "total_magnetization_mub_per_cell": 0.00}


Record 3
{"formula": "Mg2H2Ir", "functional": "GGA-PBE", "state": "relaxed", "lattice": [[-2.633, -0.665, 1.299], [2.193, -2.597, 3.116], [2.408, 1.320, 5.556]], "species": ["Ir", "H", "Mg", "Mg", "H"], "fractional_positions": [[0.192, 0.135, 0.480], [0.192, 0.141, 0.205], [0.692, 0.636, 0.980], [0.692, 0.636, 0.480], [0.191, 0.129, 0.756]], "dos_ef_per_ev_cell": 0.700, "e_above_lowest_polymorph_ev_per_fu": 0.000, "space_group": "P2/m", "volume_a3_per_atom": 12.76, "total_magnetization_mub_per_cell": 0.00}


Record 4
{"formula": "Mg2HIr6", "functional": "GGA-PBE", "state": "relaxed", "lattice": [[4.532, 0.000, 1.589], [0.000, 5.555, 0.000], [-0.005, 0.000, 4.802]], "species": ["Ir", "Mg", "Mg", "Ir", "Ir", "H", "Ir", "Ir", "Ir"], "fractional_positions": [[0.093, 0.461, 0.685], [0.585, 0.461, 0.177], [0.576, 0.961, 0.170], [0.084, 0.706, 0.178], [0.585, 0.706, 0.677], [0.854, 0.959, 0.448], [0.084, 0.216, 0.178], [0.098, 0.961, 0.691], [0.586, 0.216, 0.677]], "dos_ef_per_ev_cell": 5.128, "e_above_lowest_polymorph_ev_per_fu": 0.234, "space_group": "Cm", "volume_a3_per_atom": 13.44, "total_magnetization_mub_per_cell": 0.00}


Record 5
{"formula": "Mg4H3Ir2", "functional": "GGA-PBE", "state": "relaxed", "lattice": [[-4.791, 1.980, -0.294], [0.222, -3.753, 1.995], [0.911, 2.739, 5.050]], "species": ["Mg", "Ir", "Ir", "H", "H", "Mg", "Mg", "Mg", "H"], "fractional_positions": [[0.307, 0.054, 0.947], [0.708, 0.755, 0.947], [0.059, 0.930, 0.504], [0.885, 0.843, 0.225], [0.398, 0.601, 0.082], [0.882, 0.342, 0.226], [0.883, 0.342, 0.726], [0.460, 0.631, 0.504], [0.368, 0.085, 0.368]], "dos_ef_per_ev_cell": 2.341, "e_above_lowest_polymorph_ev_per_fu": 0.000, "space_group": "Cm", "volume_a3_per_atom": 13.02, "total_magnetization_mub_per_cell": 0.00}


Record 6
{"formula": "Mg4H3Ir2", "functional": "GGA-PBE", "state": "relaxed", "lattice": [[4.206, 0.000, 0.000], [-2.105, 4.836, -0.188], [0.000, 0.002, 5.785]], "species": ["Mg", "Ir", "H", "H", "Mg", "Ir", "H", "Mg", "Mg"], "fractional_positions": [[0.536, 0.873, 0.747], [0.949, 0.699, 0.003], [0.106, 0.015, 0.184], [0.792, 0.385, 0.876], [0.251, 0.302, 0.943], [0.115, 0.032, 0.492], [0.284, 0.370, 0.563], [0.820, 0.442, 0.468], [0.515, 0.832, 0.254]], "dos_ef_per_ev_cell": 2.071, "e_above_lowest_polymorph_ev_per_fu": 0.193, "space_group": "P1", "volume_a3_per_atom": 13.08, "total_magnetization_mub_per_cell": 0.00}